# 1
Compound: CsSbAu3
Source: Alexandria
Functional: PBE
Structure: optimized geometry

Symmetry: No. 167
Density of states at the Fermi level: 7.26 states/eV/cell
Total magnetization: 0.00 μB per cell

Cell lengths 7.2060, 7.2060, 7.2060 Å; angles 78.13, 78.13, 78.13 degrees
With the nearest neighbours (Å) after each atom.
Sites, in units of the cell vectors:
Cs (0.0000, 0.0000, 0.0000)  6 Au 3.48, 2 Sb 3.71
Cs (0.5000, 0.5000, 0.5000)  6 Au 3.48, 2 Sb 3.71
Sb (0.7500, 0.7500, 0.7500)  3 Au 2.61
Sb (0.2500, 0.2500, 0.2500)  3 Au 2.61
Au (0.2500, 0.9627, 0.5373)  1 Sb 2.61
Au (0.4627, 0.7500, 0.0373)  1 Sb 2.61
Au (0.5373, 0.2500, 0.9627)  1 Sb 2.61
Au (0.7500, 0.0373, 0.4627)  1 Sb 2.61
Au (0.0373, 0.4627, 0.7500)  1 Sb 2.61
Au (0.9627, 0.5373, 0.2500)  1 Sb 2.61


# 2
Compound: CsSbAu3
Source: Alexandria
Functional: PBE
Structure: optimized geometry

Symmetry: No. 221
Density of states at the Fermi level: 1.85 states/eV/cell
Total magnetization: 0.97 μB per cell

Cell lengths 5.8554, 5.8554, 5.8554 Å; angles 90.00, 90.00, 90.00 degrees
With the nearest neighbours (Å) after each atom.
Sites, in units of the cell vectors:
Au (0.0000, 0.5000, 0.0000)  2 Cs 2.93
Au (0.0000, 0.0000, 0.5000)  2 Cs 2.93
Au (0.5000, 0.0000, 0.0000)  2 Cs 2.93
Sb (0.5000, 0.5000, 0.5000)  12 Au 4.14
Cs (0.0000, 0.0000, 0.0000)  6 Au 2.93


# 3
Compound: CsSb2Au2
Source: Alexandria
Functional: PBE
Structure: optimized geometry

Symmetry: No. 127
Density of states at the Fermi level: 4.63 states/eV/cell
Total magnetization: 0.00 μB per cell

Cell lengths 9.1040, 9.1040, 3.3365 Å; angles 90.00, 90.00, 90.00 degrees
With the nearest neighbours (Å) after each atom.
Sites, in units of the cell vectors:
Cs (0.5000, 0.5000, 0.0000)  2 Cs 3.34, 4 Au 3.58
Cs (0.0000, 0.0000, 0.0000)  2 Cs 3.34, 4 Au 3.58
Au (0.1287, 0.3713, 0.0000)  6 Sb 3.01-3.34, 3 Au 3.31-3.34
Au (0.8713, 0.6287, 0.0000)  6 Sb 3.01-3.34, 3 Au 3.31-3.34
Au (0.6287, 0.1287, 0.0000)  6 Sb 3.01-3.34, 3 Au 3.31-3.34
Au (0.3713, 0.8713, 0.0000)  6 Sb 3.01-3.34, 3 Au 3.31-3.34
Sb (0.8535, 0.3535, 0.5000)  6 Au 3.01-3.34, 2 Sb 3.34
Sb (0.1465, 0.6465, 0.5000)  6 Au 3.01-3.34, 2 Sb 3.34
Sb (0.3535, 0.1465, 0.5000)  6 Au 3.01-3.34, 2 Sb 3.34
Sb (0.6465, 0.8535, 0.5000)  6 Au 3.01-3.34, 2 Sb 3.34


# 4
Compound: Cs3Sb4Au2
Source: Alexandria
Functional: PBE
Structure: optimized geometry

Symmetry: No. 2
Density of states at the Fermi level: 0.95 states/eV/cell
Total magnetization: 0.00 μB per cell

Cell lengths 5.1551, 7.5846, 12.2894 Å; angles 60.37, 89.47, 70.04 degrees
With the nearest neighbours (Å) after each atom.
Sites, in units of the cell vectors:
Sb (0.1929, 0.6267, 0.7170)  2 Au 2.70, 1 Sb 2.90
Sb (0.7036, 0.5923, 0.0068)  3 Sb 2.90-2.94
Sb (0.8071, 0.3733, 0.2830)  2 Au 2.70, 1 Sb 2.90
Sb (0.2964, 0.4077, 0.9932)  3 Sb 2.90-2.94
Au (0.2560, 0.4742, 0.2950)  2 Sb 2.70
Au (0.7440, 0.5258, 0.7050)  2 Sb 2.70
Cs (0.4410, 0.1326, 0.6398)  2 Au 3.62-3.97
Cs (0.5590, 0.8674, 0.3602)  2 Au 3.62-3.97
Cs (0.0000, 0.0000, 0.0000)  2 Au 3.60, 4 Sb 3.85-3.86


# 5
Compound: CsSbAu3
Source: Alexandria
Functional: PBE
Structure: optimized geometry

Symmetry: No. 62
Density of states at the Fermi level: 12.32 states/eV/cell
Total magnetization: 0.00 μB per cell

Cell lengths 7.0836, 12.1340, 6.5149 Å; angles 90.00, 90.00, 90.00 degrees
With the nearest neighbours (Å) after each atom.
Sites, in units of the cell vectors:
Cs (0.5000, 0.5000, 0.0000)  10 Au 3.54-3.89, 4 Sb 3.82-3.93
Cs (0.5000, 0.0000, 0.0000)  10 Au 3.54-3.89, 4 Sb 3.82-3.93
Cs (0.0000, 0.0000, 0.5000)  10 Au 3.54-3.89, 4 Sb 3.82-3.93
Cs (0.0000, 0.5000, 0.5000)  10 Au 3.54-3.89, 4 Sb 3.82-3.93
Au (0.2718, 0.2500, 0.7816)  4 Au 2.89-2.95, 1 Sb 2.95
Au (0.5118, 0.6158, 0.4992)  3 Au 2.82-2.95, 2 Sb 2.90-2.92
Au (0.9882, 0.1158, 0.9992)  3 Au 2.82-2.95, 2 Sb 2.90-2.92
Au (0.7282, 0.7500, 0.2184)  4 Au 2.89-2.95, 1 Sb 2.95
Au (0.7718, 0.2500, 0.7184)  4 Au 2.89-2.95, 1 Sb 2.95
Au (0.4882, 0.3842, 0.5008)  3 Au 2.82-2.95, 2 Sb 2.90-2.92
Au (0.2282, 0.7500, 0.2816)  4 Au 2.89-2.95, 1 Sb 2.95
Au (0.0118, 0.6158, 0.0008)  3 Au 2.82-2.95, 2 Sb 2.90-2.92
Au (0.4882, 0.1158, 0.5008)  3 Au 2.82-2.95, 2 Sb 2.90-2.92
Au (0.5118, 0.8842, 0.4992)  3 Au 2.82-2.95, 2 Sb 2.90-2.92
Au (0.0118, 0.8842, 0.0008)  3 Au 2.82-2.95, 2 Sb 2.90-2.92
Au (0.9882, 0.3842, 0.9992)  3 Au 2.82-2.95, 2 Sb 2.90-2.92
Sb (0.2459, 0.7500, 0.7339)  5 Au 2.90-2.95
Sb (0.7459, 0.7500, 0.7661)  5 Au 2.90-2.95
Sb (0.7541, 0.2500, 0.2661)  5 Au 2.90-2.95
Sb (0.2541, 0.2500, 0.2339)  5 Au 2.90-2.95


# 6
Compound: Cs12SbAu6
Source: Alexandria
Functional: PBE
Structure: optimized geometry

Symmetry: No. 204
Density of states at the Fermi level: 8.12 states/eV/cell
Total magnetization: 0.43 μB per cell

Cell lengths 10.9287, 10.9287, 10.9287 Å; angles 109.47, 109.47, 109.47 degrees
With the nearest neighbours (Å) after each atom.
Sites, in units of the cell vectors:
Au (0.5000, 0.1164, 0.6164)  1 Au 2.94
Au (0.1164, 0.6164, 0.5000)  1 Au 2.94
Au (0.5000, 0.8836, 0.3836)  1 Au 2.94
Au (0.8836, 0.3836, 0.5000)  1 Au 2.94
Au (0.6164, 0.5000, 0.1164)  1 Au 2.94
Au (0.3836, 0.5000, 0.8836)  1 Au 2.94
Cs (0.7006, 0.8749, 0.1743)  3 Au 3.66
Cs (0.4737, 0.1743, 0.2994)  3 Au 3.66
Cs (0.5263, 0.8257, 0.7006)  3 Au 3.66
Cs (0.8257, 0.2994, 0.1251)  3 Au 3.66
Cs (0.7006, 0.5263, 0.8257)  3 Au 3.66
Cs (0.8257, 0.7006, 0.5263)  3 Au 3.66
Cs (0.2994, 0.1251, 0.8257)  3 Au 3.66
Cs (0.8749, 0.1743, 0.7006)  3 Au 3.66
Cs (0.1743, 0.2994, 0.4737)  3 Au 3.66
Cs (0.2994, 0.4737, 0.1743)  3 Au 3.66
Cs (0.1743, 0.7006, 0.8749)  3 Au 3.66
Cs (0.1251, 0.8257, 0.2994)  3 Au 3.66
Sb (0.0000, 0.0000, 0.0000)  12 Cs 4.37


# 7
Compound: CsSb3Au6
Source: Alexandria
Functional: PBE
Structure: optimized geometry

Symmetry: No. 1
Density of states at the Fermi level: 3.25 states/eV/cell
Total magnetization: 0.00 μB per cell

Cell lengths 7.8837, 7.9040, 7.0173 Å; angles 89.99, 124.25, 119.97 degrees
With the nearest neighbours (Å) after each atom.
Sites, in units of the cell vectors:
Sb (0.7259, 0.3623, 0.0891)  6 Au 2.73-3.00
Sb (0.2736, 0.1364, 0.4101)  6 Au 2.75-2.87
Sb (0.3187, 0.6591, 0.9775)  6 Au 2.78-2.89
Au (0.8056, 0.0674, 0.2220)  3 Sb 2.74-2.88, 2 Au 2.81-2.85
Au (0.1530, 0.7372, 0.2225)  3 Sb 2.73-2.89, 2 Au 2.80-2.85
Au (0.3644, 0.9171, 0.7138)  3 Sb 2.75-3.00, 2 Au 2.80-2.85
Au (0.7966, 0.4486, 0.7148)  3 Sb 2.75-2.99, 2 Au 2.80-2.85
Au (0.2667, 0.3496, 0.7136)  3 Sb 2.76-2.99, 2 Au 2.81-2.86
Au (0.4855, 0.4171, 0.2226)  3 Sb 2.73-2.88, 2 Au 2.80-2.86
Cs (0.8099, 0.9053, 0.7141)  9 Au 3.56-3.81, 2 Sb 3.71-3.93


# 8
Compound: CsSbAu3
Source: Alexandria
Functional: PBE
Structure: optimized geometry

Symmetry: No. 1
Density of states at the Fermi level: 2.92 states/eV/cell
Total magnetization: 0.00 μB per cell

Cell lengths 7.5932, 7.3828, 7.6234 Å; angles 107.13, 61.03, 127.35 degrees
With the nearest neighbours (Å) after each atom.
Sites, in units of the cell vectors:
Au (0.2978, 0.7108, 0.5130)  5 Au 2.78-3.04, 1 Sb 2.94
Au (0.9803, 0.8602, 0.6525)  2 Sb 2.74-2.85, 4 Au 2.79-2.87
Au (0.4619, 0.5144, 0.1538)  2 Au 2.78, 2 Sb 2.84-2.86
Au (0.2569, 0.3096, 0.5145)  5 Au 2.78-3.00, 1 Sb 2.91
Au (0.4420, 0.1608, 0.6514)  2 Sb 2.74-2.86, 4 Au 2.79-2.87
Au (0.7184, 0.0138, 0.6425)  2 Sb 2.80, 4 Au 2.86-3.04
Sb (0.7932, 0.4380, 0.7994)  5 Au 2.74-2.94
Sb (0.4858, 0.5855, 0.7938)  5 Au 2.74-2.91
Cs (0.1174, 0.8543, 0.1410)  4 Au 3.51-3.89, 2 Sb 3.82-3.90
Cs (0.8284, 0.1707, 0.1447)  6 Au 3.53-3.87, 2 Sb 3.85-3.91


# 9
Compound: CsSb3Au
Source: Alexandria
Functional: PBE
Structure: optimized geometry

Symmetry: No. 166
Density of states at the Fermi level: 6.06 states/eV/cell
Total magnetization: 0.00 μB per cell

Cell lengths 8.6106, 8.6106, 8.6106 Å; angles 59.80, 59.80, 59.80 degrees
With the nearest neighbours (Å) after each atom.
Sites, in units of the cell vectors:
Cs (0.7024, 0.7024, 0.7024)  1 Au 3.41
Cs (0.2976, 0.2976, 0.2976)  1 Au 3.41
Sb (0.6945, 0.6946, 0.2357)  1 Au 2.69, 2 Sb 2.87
Sb (0.3054, 0.7643, 0.3055)  1 Au 2.69, 2 Sb 2.87
Sb (0.2357, 0.6945, 0.6946)  1 Au 2.69, 2 Sb 2.87
Sb (0.3055, 0.3054, 0.7643)  1 Au 2.69, 2 Sb 2.87
Sb (0.7643, 0.3055, 0.3054)  1 Au 2.69, 2 Sb 2.87
Sb (0.6946, 0.2357, 0.6945)  1 Au 2.69, 2 Sb 2.87
Au (0.8638, 0.8638, 0.8638)  3 Sb 2.69
Au (0.1362, 0.1362, 0.1362)  3 Sb 2.69


# 10
Compound: Cs2Sb2Au
Source: Alexandria
Functional: PBE
Structure: optimized geometry

Symmetry: No. 139
Density of states at the Fermi level: 4.60 states/eV/cell
Total magnetization: 0.00 μB per cell

Cell lengths 7.6741, 7.6741, 6.7907 Å; angles 55.59, 55.59, 90.00 degrees
With the nearest neighbours (Å) after each atom.
Sites, in units of the cell vectors:
Au (0.0000, 0.0000, 0.0000)  2 Sb 2.66
Sb (0.3257, 0.3257, 0.3486)  1 Au 2.66, 1 Sb 2.85
Sb (0.6743, 0.6743, 0.6514)  1 Au 2.66, 1 Sb 2.85
Cs (0.7500, 0.2500, 0.5000)  4 Sb 3.89, 2 Cs 4.08, 4 Au 4.35
Cs (0.2500, 0.7500, 0.5000)  4 Sb 3.89, 2 Cs 4.08, 4 Au 4.35


# 11
Compound: CsSbAu3
Source: Alexandria
Functional: PBE
Structure: optimized geometry

Symmetry: No. 1
Density of states at the Fermi level: 0.00 states/eV/cell
Total magnetization: 0.00 μB per cell

Cell lengths 5.9280, 7.2722, 9.0932 Å; angles 71.80, 108.63, 116.11 degrees
With the nearest neighbours (Å) after each atom.
Sites, in units of the cell vectors:
Cs (0.1812, 0.7035, 0.9314)  7 Au 3.74-4.03, 3 Sb 4.01-4.03
Cs (0.8566, 0.6007, 0.3887)  8 Au 3.61-3.97, 2 Sb 3.84-3.92
Sb (0.9271, 0.0739, 0.0280)  4 Au 2.65-2.77
Sb (0.6384, 0.0081, 0.5506)  5 Au 2.67-2.91
Au (0.6472, 0.2302, 0.7535)  2 Sb 2.74-2.78, 3 Au 2.75-2.89
Au (0.1564, 0.2070, 0.5999)  1 Sb 2.71, 4 Au 2.75-2.91
Au (0.9006, 0.1340, 0.2936)  2 Sb 2.65-2.91, 2 Au 2.80-2.90
Au (0.3821, 0.1078, 0.2518)  2 Sb 2.71-2.77, 2 Au 2.84-2.90
Au (0.5270, 0.5996, 0.6660)  1 Sb 2.67, 3 Au 2.82-2.89
Au (0.3693, 0.2731, 0.9234)  1 Sb 2.69, 4 Au 2.75-2.91


# 12
Compound: CsSb4Au8
Source: Alexandria
Functional: PBE
Structure: optimized geometry

Symmetry: No. 12
Density of states at the Fermi level: 3.49 states/eV/cell
Total magnetization: 0.00 μB per cell

Cell lengths 3.8536, 9.7777, 10.1840 Å; angles 85.71, 79.09, 78.63 degrees
With the nearest neighbours (Å) after each atom.
Sites, in units of the cell vectors:
Au (0.8447, 0.9994, 0.3111)  2 Sb 2.75, 3 Au 2.80-3.02
Au (0.8340, 0.3452, 0.9868)  2 Sb 2.74, 2 Au 2.80
Au (0.2129, 0.1971, 0.3771)  3 Sb 2.69-2.87, 2 Au 2.80
Au (0.8184, 0.8065, 0.5568)  3 Sb 2.69-2.87, 2 Au 2.80
Au (0.1975, 0.6582, 0.9469)  2 Sb 2.74, 2 Au 2.80
Au (0.4120, 0.3897, 0.7864)  3 Sb 2.69-2.88, 2 Au 2.80
Au (0.6194, 0.6138, 0.1474)  3 Sb 2.69-2.88, 2 Au 2.80
Au (0.1867, 0.0041, 0.6226)  2 Sb 2.75, 3 Au 2.80-3.02
Sb (0.8145, 0.6125, 0.7585)  5 Au 2.69-2.88
Sb (0.2171, 0.3907, 0.1751)  5 Au 2.69-2.88
Sb (0.6021, 0.2065, 0.5892)  5 Au 2.69-2.87
Sb (0.4292, 0.7969, 0.3446)  5 Au 2.69-2.87
Cs (0.5158, 0.0015, 0.9669)  10 Au 3.83-4.07, 2 Cs 3.85, 2 Sb 4.19


Electronic total energy across the listed records, respectively: -26.007; -7.994; -31.168; -28.801; -60.248; -39.080; -33.530; -31.824; -34.792; -13.915; -32.171; -43.750 eV for the cell shown.